Record 1
A plane-wave DFT calculation with PBE-GGA was carried out for a relaxed Dy5Ho8Tl crystal.

Cell: 8.373 8.373 8.373 Å, 110.66 107.13 110.66°
Element x y z (fractional)
Dy1 0.023 0.311 0.131
Dy2 0.869 0.892 0.180
Dy3 0.820 0.689 0.712
Dy4 0.500 0.000 0.500
Dy5 0.288 0.108 0.977
Ho1 0.170 0.731 0.071
Ho2 0.929 0.099 0.660
Ho3 0.727 0.253 0.335
Ho4 0.665 0.392 0.918
Ho5 0.526 0.608 0.273
Ho6 0.561 0.901 0.830
Ho7 0.340 0.269 0.439
Ho8 0.082 0.747 0.474
Tl1 0.250 0.500 0.750

total moment: 0.001 μB per cell
density of states at the Fermi level: 17.75 states/eV/cell
symmetry: I-4
ΔH_f (0 K): 0.195 eV per atom
total energy: -4.2337 eV per atom

***

Record 2
A plane-wave DFT calculation with PBE-GGA was carried out for a relaxed DyHo3Tl6 crystal.

Cell: 5.231 8.601 8.601 Å, 116.00 101.70 101.70°
Element x y z (fractional)
Dy1 0.688 0.000 0.000
Ho1 0.952 0.395 0.000
Ho2 0.952 0.000 0.395
Ho3 0.558 0.605 0.605
Tl1 0.523 0.000 0.589
Tl2 0.523 0.589 0.000
Tl3 0.102 0.000 0.776
Tl4 0.102 0.776 0.000
Tl5 0.326 0.224 0.224
Tl6 0.934 0.411 0.411

total moment: 0.000 μB per cell
density of states at the Fermi level: 6.56 states/eV/cell
symmetry: R3m
ΔH_f (0 K): 0.093 eV per atom
total energy: -3.1604 eV per atom

***

Record 3
A plane-wave DFT calculation with PBE-GGA was carried out for a relaxed DyHoTl2 crystal.

Cell: 3.781 3.781 7.573 Å, 90.00 90.00 90.00°
Element x y z (fractional)
Tl1 0.000 0.000 0.751
Tl2 0.000 0.000 0.249
Ho1 0.500 0.500 0.000
Dy1 0.500 0.500 0.500

total moment: 0.000 μB per cell
density of states at the Fermi level: 2.81 states/eV/cell
symmetry: P4/mmm
ΔH_f (0 K): -0.336 eV per atom
total energy: -3.8145 eV per atom

***

Record 4
A plane-wave DFT calculation with PBE-GGA was carried out for a relaxed Dy5HoTl2 crystal.

Cell: 3.589 8.424 8.424 Å, 77.18 77.70 77.70°
Element x y z (fractional)
Dy1 0.000 0.500 0.500
Dy2 0.633 0.596 0.138
Dy3 0.367 0.404 0.862
Dy4 0.367 0.862 0.404
Dy5 0.633 0.138 0.596
Ho1 0.000 0.000 0.000
Tl1 0.739 0.761 0.761
Tl2 0.261 0.239 0.239

total moment: 0.006 μB per cell
density of states at the Fermi level: 10.71 states/eV/cell
symmetry: Immm
ΔH_f (0 K): -0.105 eV per atom
total energy: -4.1456 eV per atom

***

Record 5
A plane-wave DFT calculation with PBE-GGA was carried out for a relaxed Dy5HoTl4 crystal.

Cell: 3.620 3.620 21.595 Å, 90.00 90.00 90.00°
Element x y z (fractional)
Dy1 0.500 0.500 0.113
Dy2 0.500 0.500 0.306
Dy3 0.500 0.500 0.500
Dy4 0.500 0.500 0.694
Dy5 0.500 0.500 0.887
Ho1 0.000 0.000 0.000
Tl1 0.000 0.000 0.209
Tl2 0.000 0.000 0.403
Tl3 0.000 0.000 0.597
Tl4 0.000 0.000 0.791

total moment: 0.108 μB per cell
density of states at the Fermi level: 8.61 states/eV/cell
symmetry: P4/mmm
ΔH_f (0 K): -0.273 eV per atom
total energy: -3.9786 eV per atom

***

Record 6
A plane-wave DFT calculation with PBE-GGA was carried out for a relaxed Dy3HoTl3 crystal.

Cell: 9.325 9.325 9.325 Å, 90.00 90.00 90.00°
Element x y z (fractional)
Dy1 0.824 0.324 0.176
Dy2 0.927 0.927 0.927
Dy3 0.824 0.676 0.324
Dy4 0.176 0.824 0.324
Dy5 0.176 0.176 0.176
Dy6 0.324 0.824 0.676
Dy7 0.073 0.427 0.573
Dy8 0.324 0.176 0.824
Dy9 0.676 0.324 0.824
Dy10 0.676 0.676 0.676
Dy11 0.573 0.073 0.427
Dy12 0.427 0.573 0.073
Ho1 0.073 0.573 0.927
Ho2 0.927 0.073 0.573
Ho3 0.427 0.427 0.427
Ho4 0.573 0.927 0.073
Tl1 0.751 0.626 0.000
Tl2 0.874 0.000 0.251
Tl3 0.000 0.751 0.626
Tl4 0.126 0.500 0.249
Tl5 0.249 0.126 0.500
Tl6 0.251 0.874 0.000
Tl7 0.000 0.251 0.874
Tl8 0.374 0.500 0.749
Tl9 0.500 0.249 0.126
Tl10 0.626 0.000 0.751
Tl11 0.749 0.374 0.500
Tl12 0.500 0.749 0.374

total moment: 0.000 μB per cell
density of states at the Fermi level: 38.54 states/eV/cell
symmetry: P2_13
ΔH_f (0 K): -0.245 eV per atom
total energy: -3.8854 eV per atom

***

Record 7
A plane-wave DFT calculation with PBE-GGA was carried out for a relaxed Dy12Ho2Tl crystal.

Cell: 6.642 6.642 23.849 Å, 85.78 85.78 114.98°
Element x y z (fractional)
Dy1 0.487 0.481 0.804
Dy2 0.981 0.987 0.804
Dy3 0.670 0.672 0.932
Dy4 0.209 0.709 0.871
Dy5 0.956 0.953 0.326
Dy6 0.291 0.791 0.129
Dy7 0.839 0.339 0.578
Dy8 0.453 0.456 0.326
Dy9 0.172 0.170 0.932
Dy10 0.830 0.828 0.068
Dy11 0.349 0.350 0.557
Dy12 0.661 0.161 0.422
Dy13 0.047 0.044 0.674
Dy14 0.151 0.150 0.443
Dy15 0.328 0.330 0.068
Dy16 0.650 0.651 0.443
Dy17 0.850 0.849 0.557
Dy18 0.013 0.019 0.196
Dy19 0.341 0.841 0.577
Dy20 0.544 0.547 0.674
Dy21 0.709 0.209 0.875
Dy22 0.519 0.513 0.196
Dy23 0.159 0.659 0.423
Dy24 0.791 0.291 0.125
Ho1 0.482 0.982 0.267
Ho2 0.980 0.480 0.266
Ho3 0.018 0.518 0.733
Ho4 0.520 0.020 0.734
Tl1 0.497 0.997 0.001
Tl2 0.003 0.503 0.999

total moment: 0.000 μB per cell
density of states at the Fermi level: 41.57 states/eV/cell
symmetry: C2/m
ΔH_f (0 K): 0.070 eV per atom
total energy: -4.3796 eV per atom

***

Record 8
A plane-wave DFT calculation with PBE-GGA was carried out for a relaxed Dy4Ho5Tl crystal.

Cell: 5.775 8.013 8.016 Å, 82.55 68.89 68.88°
Element x y z (fractional)
Dy1 0.462 0.317 0.683
Dy2 0.779 0.683 0.683
Dy3 0.145 0.317 0.317
Dy4 0.462 0.683 0.317
Ho1 0.769 0.371 0.000
Ho2 0.140 0.000 0.629
Ho3 0.769 0.000 0.371
Ho4 0.140 0.629 0.000
Ho5 0.664 0.000 0.000
Tl1 0.182 0.000 0.000

total moment: 0.000 μB per cell
density of states at the Fermi level: 14.20 states/eV/cell
symmetry: I4mm
ΔH_f (0 K): 0.142 eV per atom
total energy: -4.2242 eV per atom

***

Record 9
A plane-wave DFT calculation with PBE-GGA was carried out for a relaxed Dy3Ho2Tl2 crystal.

Cell: 4.976 3.484 11.991 Å, 90.00 78.03 90.00°
Element x y z (fractional)
Dy1 0.854 0.000 0.292
Dy2 0.000 0.000 0.000
Dy3 0.146 0.000 0.708
Ho1 0.714 0.500 0.571
Ho2 0.286 0.500 0.429
Tl1 0.573 0.500 0.854
Tl2 0.427 0.500 0.146

total moment: 0.423 μB per cell
density of states at the Fermi level: 5.85 states/eV/cell
symmetry: Cmmm
ΔH_f (0 K): -0.084 eV per atom
total energy: -4.0404 eV per atom

***

Record 10
A plane-wave DFT calculation with PBE-GGA was carried out for a relaxed Dy2Ho8Tl crystal.

Cell: 5.522 6.389 10.036 Å, 84.92 105.97 90.00°
Element x y z (fractional)
Dy1 0.756 0.335 0.513
Dy2 0.244 0.665 0.487
Ho1 0.421 0.598 0.843
Ho2 0.662 0.877 0.324
Ho3 0.846 0.803 0.692
Ho4 0.955 0.268 0.910
Ho5 0.154 0.197 0.308
Ho6 0.338 0.123 0.676
Ho7 0.579 0.402 0.157
Ho8 0.045 0.732 0.090
Tl1 0.500 0.000 0.000

total moment: 0.000 μB per cell
density of states at the Fermi level: 15.28 states/eV/cell
symmetry: C2/m
ΔH_f (0 K): -0.028 eV per atom
total energy: -4.4094 eV per atom

***

Record 11
A plane-wave DFT calculation with PBE-GGA was carried out for a relaxed Dy5Ho4Tl crystal.

Cell: 5.791 8.013 8.013 Å, 82.50 68.82 68.82°
Element x y z (fractional)
Dy1 0.768 0.372 0.000
Dy2 0.140 0.000 0.628
Dy3 0.768 0.000 0.372
Dy4 0.140 0.628 0.000
Dy5 0.663 0.000 0.000
Ho1 0.463 0.318 0.682
Ho2 0.781 0.682 0.682
Ho3 0.145 0.318 0.318
Ho4 0.463 0.682 0.318
Tl1 0.182 0.000 0.000

total moment: 0.000 μB per cell
density of states at the Fermi level: 13.96 states/eV/cell
symmetry: I4mm
ΔH_f (0 K): 0.151 eV per atom
total energy: -4.2179 eV per atom

***

Record 12
A plane-wave DFT calculation with PBE-GGA was carried out for a relaxed Dy5HoTl6 crystal.

Cell: 5.361 9.304 9.304 Å, 120.17 106.83 106.83°
Element x y z (fractional)
Tl1 0.249 0.083 0.416
Tl2 0.751 0.584 0.917
Tl3 0.749 0.249 0.249
Tl4 0.251 0.751 0.751
Tl5 0.249 0.416 0.083
Tl6 0.751 0.917 0.584
Ho1 0.000 0.000 0.000
Dy1 0.500 0.167 0.833
Dy2 0.000 0.334 0.666
Dy3 0.500 0.500 0.500
Dy4 0.000 0.666 0.334
Dy5 0.500 0.833 0.167

total moment: 0.000 μB per cell
density of states at the Fermi level: 8.93 states/eV/cell
symmetry: C2/m
ΔH_f (0 K): -0.338 eV per atom
total energy: -3.8198 eV per atom